No. 1
First-principles (PBE-GGA) data for an optimized crystal structure of LiIn2Pd, as listed in the Open Quantum Materials Database.

As for the total energy: -3.596 eV/atom. The crystal system is cubic. The calculation puts the energy above the most stable polymorph in this dataset at 1.1 meV per atom.

Geometry as POSCAR:
```
LiIn2Pd
1.0
0.000 3.305 3.305
3.305 0.000 3.305
3.305 3.305 0.000
Li In Pd
1 2 1
Cartesian
0.000 0.000 0.000 Li
1.653 1.653 1.653 In
4.958 4.958 4.958 In
3.305 3.305 3.305 Pd
```

No. 2
First-principles (PBE-GGA) data for an optimized crystal structure of LiInPd2, as listed in the Open Quantum Materials Database.

As for the total energy: -4.203 eV/atom. The crystal system is hexagonal.

Geometry as POSCAR:
```
LiInPd2
1.0
4.578 0.000 0.000
-2.289 3.964 0.000
0.000 0.000 7.937
Li In Pd
2 2 4
Cartesian
0.000 2.643 1.984 Li
2.289 1.321 5.952 Li
0.000 0.000 0.000 In
0.000 0.000 3.968 In
0.000 2.643 4.576 Pd
0.000 2.643 7.329 Pd
2.289 1.321 0.607 Pd
2.289 1.321 3.361 Pd
```

No. 3
First-principles (PBE-GGA) data for an optimized crystal structure of LiInPd2, as listed in the Open Quantum Materials Database.

As for the total energy: -4.263 eV/atom. The crystal system is hexagonal.

Geometry as POSCAR:
```
LiInPd2
1.0
4.362 0.000 0.000
-2.181 3.777 0.000
0.000 0.000 8.297
Li In Pd
2 2 4
Cartesian
0.000 0.000 0.000 Li
0.000 0.000 4.149 Li
0.000 2.518 2.074 In
2.181 1.259 6.223 In
0.000 2.518 4.854 Pd
0.000 2.518 7.592 Pd
2.181 1.259 0.705 Pd
2.181 1.259 3.443 Pd
```

No. 4
First-principles (PBE-GGA) data for an optimized crystal structure of LiInPd2, as listed in the Open Quantum Materials Database.

As for the total energy: -4.340 eV/atom. The crystal system is tetragonal.

Geometry as POSCAR:
```
LiInPd2
1.0
4.196 0.000 0.000
0.000 4.196 0.000
0.000 0.000 3.632
Li In Pd
1 1 2
Cartesian
0.000 0.000 0.000 Li
2.098 2.098 0.000 In
0.000 2.098 1.816 Pd
2.098 0.000 1.816 Pd
```

No. 5
First-principles (PBE-GGA) data for an optimized crystal structure of LiInPd2, as listed in the Open Quantum Materials Database.

As for the total energy: -4.340 eV/atom. The crystal system is tetragonal.

Geometry as POSCAR:
```
LiInPd2
1.0
4.193 0.000 0.000
0.000 4.193 0.000
0.000 0.000 3.637
Li In Pd
1 1 2
Cartesian
0.000 0.000 0.000 Li
2.097 2.097 0.000 In
0.000 2.097 1.818 Pd
2.097 0.000 1.818 Pd
```

No. 6
First-principles (PBE-GGA) data for an optimized crystal structure of LiIn2Pd, as listed in the Open Quantum Materials Database.

As for the total energy: -3.597 eV/atom. The crystal system is tetragonal. The calculation puts the energy above the most stable polymorph in this dataset at 0.3 meV per atom.

Geometry as POSCAR:
```
LiIn2Pd
1.0
-2.335 2.335 3.350
2.335 -2.335 3.350
2.335 2.335 -3.350
Li In Pd
1 2 1
Cartesian
0.000 0.000 0.000 Li
2.335 0.000 1.675 In
0.000 2.335 1.675 In
0.000 0.000 3.350 Pd
```